[1]
A relaxed Ac3Sm2Dy crystal, computed with PBE.

Space group: No. 15

Geometry as extended XYZ:
```
12
Lattice="5.415 -3.786 0.000 5.415 3.786 0.000 -5.407 0.000 11.377" Properties=species:S:1:pos:R:3 pbc="T T T"
Ac 1.360 2.835 8.533
Ac -1.348 0.944 10.433
Ac 1.355 -0.944 4.745
Ac 4.068 0.944 6.632
Ac 6.771 -0.944 0.944
Ac 4.063 -2.835 2.844
Sm -1.351 0.943 6.648
Sm 1.353 -0.943 0.960
Sm 4.070 0.943 10.417
Sm 6.774 -0.943 4.729
Dy 4.063 0.949 2.844
Dy 1.360 -0.949 8.533
```

---

[2]
A relaxed Ac2Sm4Dy3 crystal, computed with PBE.

Space group: No. 69

Geometry as extended XYZ:
```
9
Lattice="0.000 6.241 8.234 3.155 0.000 8.234 3.155 6.241 0.000" Properties=species:S:1:pos:R:3 pbc="T T T"
Ac 3.155 6.241 1.919
Ac 3.155 6.241 14.549
Sm 3.155 4.404 5.163
Sm 3.155 8.078 5.163
Sm 3.155 4.404 11.305
Sm 3.155 8.078 11.305
Dy 1.578 3.121 0.000
Dy 1.578 3.121 8.234
Dy 3.155 6.241 8.234
```

---

[3]
A relaxed AcSm12Dy3 crystal, computed with PBE.

Space group: No. 123

Geometry as extended XYZ:
```
16
Lattice="5.137 0.000 0.000 0.000 5.137 0.000 0.000 0.000 20.556" Properties=species:S:1:pos:R:3 pbc="T T T"
Ac 0.000 0.000 0.000
Sm 0.000 2.568 2.687
Sm 0.000 2.568 7.746
Sm 0.000 2.568 12.809
Sm 0.000 2.568 17.869
Sm 2.568 0.000 2.687
Sm 2.568 0.000 7.746
Sm 2.568 0.000 12.809
Sm 2.568 0.000 17.869
Sm 2.568 2.568 0.000
Sm 2.568 2.568 5.235
Sm 2.568 2.568 10.278
Sm 2.568 2.568 15.321
Dy 0.000 0.000 5.205
Dy 0.000 0.000 10.278
Dy 0.000 0.000 15.351
```

---

[4]
A relaxed Ac2Sm8Dy crystal, computed with PBE.

Energy relative to the lowest polymorph listed for this composition, eV/atom: 0.026
Space group: No. 12

Geometry as extended XYZ:
```
11
Lattice="9.924 -3.564 0.000 9.924 3.564 0.000 -0.323 0.000 5.731" Properties=species:S:1:pos:R:3 pbc="T T T"
Ac 4.261 0.000 1.476
Ac 15.264 0.000 4.255
Sm 0.802 0.000 1.340
Sm 7.418 1.879 1.537
Sm 6.187 0.000 4.443
Sm 12.107 1.879 4.194
Sm 7.418 -1.879 1.537
Sm 13.338 0.000 1.287
Sm 12.107 -1.879 4.194
Sm 18.723 0.000 4.390
Dy 9.924 0.000 0.000
```

---

[5]
A relaxed AcSm6Dy3 crystal, computed with PBE.

Energy relative to the lowest polymorph listed for this composition, eV/atom: 0.119
Space group: No. 36

Geometry as extended XYZ:
```
20
Lattice="5.710 -6.659 0.000 5.710 6.659 0.000 0.000 0.000 9.299" Properties=species:S:1:pos:R:3 pbc="T T T"
Ac 5.710 3.431 4.650
Ac 5.710 -3.431 0.000
Sm 2.185 1.481 5.708
Sm 2.786 2.167 2.449
Sm 5.710 3.077 8.790
Sm 2.185 -1.481 1.058
Sm 2.786 -2.167 7.099
Sm 5.710 0.128 1.819
Sm 5.710 -0.128 6.469
Sm 8.635 2.167 2.449
Sm 9.236 1.481 5.708
Sm 5.710 -3.077 4.140
Sm 8.635 -2.167 7.099
Sm 9.236 -1.481 1.058
Dy 5.710 6.352 7.847
Dy 3.224 1.047 8.639
Dy 3.224 -1.047 3.989
Dy 8.197 1.047 8.639
Dy 8.197 -1.047 3.989
Dy 5.710 -6.352 3.197
```

---

[6]
A relaxed Ac12SmDy7 crystal, computed with PBE.

Space group: No. 148

Geometry as extended XYZ:
```
20
Lattice="10.366 5.985 2.206 -10.366 5.985 2.206 0.000 -11.970 2.206" Properties=species:S:1:pos:R:3 pbc="T T T"
Ac -4.276 -4.553 2.210
Ac -0.011 -4.126 1.197
Ac -3.568 2.073 1.197
Ac 3.579 2.053 1.197
Ac -6.081 1.426 4.408
Ac -1.806 5.980 2.210
Ac 1.806 -5.980 4.408
Ac 6.081 -1.426 2.210
Ac -3.579 -2.053 5.421
Ac 3.568 -2.073 5.421
Ac 0.011 4.126 5.421
Ac 4.276 4.553 4.408
Sm 0.000 0.000 3.309
Dy 0.000 0.000 0.000
Dy -2.496 -1.429 2.084
Dy 2.485 -1.447 2.084
Dy 0.011 2.876 2.084
Dy -0.011 -2.876 4.535
Dy -2.485 1.447 4.535
Dy 2.496 1.429 4.535
```

---

[7]
A relaxed Ac2Sm4Dy5 crystal, computed with PBE.

Space group: No. 12

Geometry as extended XYZ:
```
11
Lattice="12.248 -1.831 0.000 12.248 1.831 0.000 -3.463 0.000 8.699" Properties=species:S:1:pos:R:3 pbc="T T T"
Ac 1.265 0.000 3.697
Ac 19.769 0.000 5.002
Sm -1.394 0.000 6.221
Sm 7.180 0.000 1.409
Sm 13.854 0.000 7.289
Sm 22.428 0.000 2.478
Dy 2.963 0.000 0.638
Dy 4.245 0.000 5.767
Dy 12.248 0.000 0.000
Dy 16.789 0.000 2.931
Dy 18.070 0.000 8.060
```

---

[8]
A relaxed Ac6Sm5Dy crystal, computed with PBE.

Space group: No. 2

Geometry as extended XYZ:
```
12
Lattice="6.468 0.000 0.000 -0.007 7.739 0.000 -0.454 -3.867 9.296" Properties=species:S:1:pos:R:3 pbc="T T T"
Ac -0.002 1.928 0.000
Ac 6.009 1.944 9.295
Ac 1.864 -1.936 6.209
Ac 1.860 1.939 6.209
Ac 4.147 1.932 3.087
Ac 4.143 5.808 3.087
Sm 0.910 3.870 3.104
Sm 0.921 0.001 3.098
Sm 3.230 3.869 0.000
Sm 5.086 3.871 6.198
Sm 5.097 0.002 6.192
Dy 3.234 0.000 0.000
```

---

[9]
A relaxed Ac8Sm3Dy crystal, computed with PBE.

Space group: No. 1

Geometry as extended XYZ:
```
12
Lattice="6.691 0.000 0.000 2.214 7.399 0.000 2.204 1.385 9.918" Properties=species:S:1:pos:R:3 pbc="T T T"
Ac 0.000 0.000 0.000
Ac 2.231 3.378 6.637
Ac 1.152 1.678 3.336
Ac 1.188 3.670 0.040
Ac 5.553 4.386 4.971
Ac 5.587 6.385 1.666
Ac 6.707 6.070 8.297
Ac 6.731 8.069 5.007
Sm 10.009 7.090 6.636
Sm 2.271 5.374 3.336
Sm 4.466 2.684 1.664
Dy 5.610 2.365 8.297
```

---

[10]
A relaxed Ac2Sm15Dy2 crystal, computed with PBE.

Space group: No. 166

Geometry as extended XYZ:
```
19
Lattice="5.692 3.286 6.019 -5.692 3.286 6.019 0.000 -6.573 6.019" Properties=species:S:1:pos:R:3 pbc="T T T"
Ac 0.000 0.000 1.937
Ac 0.000 0.000 16.121
Sm -5.692 0.000 9.029
Sm -1.741 -3.558 6.019
Sm -2.846 1.643 3.010
Sm -3.951 0.271 6.019
Sm -2.646 -1.528 8.460
Sm 1.741 -3.558 6.019
Sm -2.211 3.286 6.019
Sm 0.000 -3.055 9.598
Sm -2.646 1.528 9.598
Sm 2.846 1.643 3.010
Sm 2.646 -1.528 8.460
Sm 0.000 3.055 8.460
Sm 3.951 0.271 6.019
Sm 2.211 3.286 6.019
Sm 2.646 1.528 9.598
Dy 0.000 0.000 5.884
Dy 0.000 0.000 12.175
```

---

[11]
A relaxed Ac2Sm6Dy5 crystal, computed with PBE.

Space group: No. 55

Geometry as extended XYZ:
```
26
Lattice="12.032 0.000 0.000 0.000 20.556 0.000 0.000 0.000 3.688" Properties=species:S:1:pos:R:3 pbc="T T T"
Ac 1.956 4.529 0.000
Ac 4.060 14.807 0.000
Ac 7.972 5.749 0.000
Ac 10.076 16.027 0.000
Sm 0.701 19.006 0.000
Sm 0.912 13.094 0.000
Sm 2.174 7.821 1.844
Sm 3.842 18.100 1.844
Sm 5.104 2.816 0.000
Sm 5.315 8.728 0.000
Sm 6.717 11.828 0.000
Sm 6.927 17.740 0.000
Sm 8.190 2.457 1.844
Sm 9.857 12.735 1.844
Sm 11.120 7.462 0.000
Sm 11.330 1.550 0.000
Dy 0.000 10.278 1.844
Dy 1.183 16.064 1.844
Dy 2.417 1.095 1.844
Dy 3.599 11.373 1.844
Dy 4.832 5.786 1.844
Dy 6.016 0.000 1.844
Dy 7.199 14.770 1.844
Dy 8.433 9.183 1.844
Dy 9.614 19.461 1.844
Dy 10.848 4.492 1.844
```

---

[12]
A relaxed AcSmDy4 crystal, computed with PBE.

Energy relative to the lowest polymorph listed for this composition, eV/atom: 0.053
Space group: No. 2

Geometry as extended XYZ:
```
12
Lattice="6.464 0.000 0.000 3.161 8.276 0.000 1.985 3.899 7.706" Properties=species:S:1:pos:R:3 pbc="T T T"
Ac 1.917 3.692 1.961
Ac 9.693 8.484 5.745
Sm 2.876 5.067 6.956
Sm 8.734 7.109 0.750
Dy 5.097 8.519 2.385
Dy 4.224 5.485 3.881
Dy 6.384 10.230 5.231
Dy 6.115 6.655 6.921
Dy 5.496 5.520 0.784
Dy 5.226 1.946 2.475
Dy 7.386 6.691 3.825
Dy 6.513 3.656 5.320
```

---

The following E_form values (in kJ/mol of formula units) correspond, in order, to the records above: 37, 150, 37, 211, 184, 426, 142, 45, 55, 519, 142, 65.